GGA-PBE Tc2PRu, optimized geometry; energy of formation = 0.158 eV per atom; total moment = 1.0 Bohr magnetons per cell; VASP energy = -8.6965 eV per atom; symmetry = F-43m, No. 216; theoretical density = 9.81 g cm⁻³; D(E_F) = 4.61 states/eV/f.u.
1.0
0.000 3.028 3.028
3.028 0.000 3.028
3.028 3.028 0.000
P Tc Ru
1 2 1
Direct
0.500 0.500 0.500
0.750 0.750 0.750
0.000 0.000 0.000
0.250 0.250 0.250